[1]
First-principles (PBE-GGA) data for a geometry-optimized Nb3W structure, as listed in Alexandria via LeMat-Bulk.

The space group is R-3m (No. 166, hexagonal axes) and the conventional cell measures 9.2948, 9.2948 and 2.8173 Å, with angles of 90.00, 90.00 and 120.00 degrees. The inequivalent atoms are Nb at (0.0000, 0.5000, 0.0000) and W at (0.0000, 0.0000, 0.0000).

The density is 10.9 g/cm3. The value obtained for the uncorrected energy is -129.79 eV for the cell shown.


[2]
First-principles (PBE-GGA) data for a geometry-optimized La3Tb4Ho structure, as listed in Alexandria via LeMat-Bulk.

The space group is Immm (No. 71) and the conventional cell measures 3.5164, 11.8503 and 13.1493 Å, with angles of 90.00, 90.00 and 90.00 degrees. The inequivalent atoms are La at (0.0000, 0.0000, 0.0000), La at (0.0000, 0.5000, 0.2433), Tb at (0.0000, 0.2452, 0.3659) and Ho at (0.0000, 0.0000, 0.5000).

The density is 7.4 g/cm3. The value obtained for the uncorrected energy is -73.69 eV for the cell shown.


Number 1: formation enthalpy at 0 K -0.025 eV per atom, volume 17.57 Å³ per atom. Number 2: formation enthalpy at 0 K 0.129 eV per atom, volume 34.25 Å³ per atom.